Computed, not measured: crystalline Nd6TlIn5 at its relaxed geometry at the PBE level of DFT.

a = 10.004 Å, b = 11.581 Å, c = 6.745 Å
α = 90.00°, β = 102.82°, γ = 90.00°
Space group C2/m (No. 12)
Inequivalent atoms, fractional coordinates:
Nd  0.249  0.167  0.249
Nd  0.250  0.000  0.752
Tl  0.000  0.500  0.500
In  0.000  0.000  0.000
In  0.000  0.165  0.500
In  0.000  0.333  0.000

**DFT formation energy**: -347 kJ/mol of formula units
**ΔE to the lowest computed polymorph**: 0.177 eV/atom
**E**: -96.5 eV per cell
**V**: 31.7 Å³/atom

Computed, not measured: crystalline TaFeHgAu2 at its relaxed geometry at the PBE level of DFT.

a = 4.887 Å, b = 4.887 Å, c = 4.388 Å
α = 90.00°, β = 90.00°, γ = 90.00°
Space group P4/mmm (No. 123)
Inequivalent atoms, fractional coordinates:
Ta  0.000  0.000  0.000
Fe  0.000  0.000  0.500
Hg  0.500  0.500  0.000
Au  0.000  0.500  0.500

**DFT formation energy**: 374 kJ/mol of formula units
**E**: -23.3 eV per cell
**V**: 21.0 Å³/atom

Computed, not measured: crystalline LiAc2ZnPd6 at its relaxed geometry at the PBE level of DFT.

a = 5.565 Å, b = 6.717 Å, c = 6.729 Å
α = 78.05°, β = 65.64°, γ = 65.61°
Space group P-1 (No. 2)
Inequivalent atoms, fractional coordinates:
Li  0.000  0.000  0.000
Ac  0.249  0.216  0.285
Zn  0.500  0.500  0.500
Pd  0.241  0.758  0.257
Pd  0.250  0.588  0.913
Pd  0.254  0.243  0.744

**DFT formation energy**: -610 kJ/mol of formula units
**E**: -48.9 eV per cell
**V**: 20.8 Å³/atom

Computed, not measured: crystalline Li2BiIrW at its relaxed geometry at the PBE level of DFT.

a = 4.882 Å, b = 4.882 Å, c = 4.719 Å
α = 90.00°, β = 90.00°, γ = 90.00°
Space group P4/mmm (No. 123)
Inequivalent atoms, fractional coordinates:
Li  0.000  0.500  0.000
Bi  0.000  0.000  0.500
Ir  0.500  0.500  0.500
W  0.500  0.500  0.000

**DFT formation energy**: 527 kJ/mol of formula units
**E**: -24.1 eV per cell
**V**: 22.5 Å³/atom

Computed, not measured: crystalline Ta2AlHRu at its relaxed geometry at the PBE level of DFT.

a = 4.107 Å, b = 4.107 Å, c = 3.993 Å
α = 90.00°, β = 90.00°, γ = 90.00°
Space group P4/mmm (No. 123)
Inequivalent atoms, fractional coordinates:
Ta  0.000  0.500  0.000
Al  0.000  0.000  0.500
H  0.500  0.500  0.000
Ru  0.500  0.500  0.500

**E**: -41.0 eV per cell
**V**: 13.5 Å³/atom

Computed, not measured: crystalline Cs2KBI6 at its relaxed geometry at the PBE level of DFT.

a = 9.298 Å, b = 9.298 Å, c = 11.155 Å
α = 90.00°, β = 90.00°, γ = 90.00°
Space group I4/mmm (No. 139)
Inequivalent atoms, fractional coordinates:
Cs  0.000  0.500  0.250
K  0.000  0.000  0.000
B  0.000  0.000  0.500
I  0.000  0.000  0.313
I  0.245  0.245  0.500

**Uncorrected formation energy**: -0.638 eV/atom
**E**: -50.3 eV per cell
**V**: 48.2 Å³/atom

Computed, not measured: crystalline Sr2CuPtN at its relaxed geometry at the PBE level of DFT.

a = 5.312 Å, b = 5.312 Å, c = 3.713 Å
α = 90.00°, β = 90.00°, γ = 90.00°
Space group P4/mmm (No. 123)
Inequivalent atoms, fractional coordinates:
Sr  0.000  0.500  0.000
Cu  0.000  0.000  0.500
Pt  0.500  0.500  0.500
N  0.000  0.000  0.000

**Uncorrected formation energy**: -0.520 eV/atom
**ΔE to the lowest computed polymorph**: 0.000 eV/atom
**E**: -24.4 eV per cell
**V**: 20.9 Å³/atom

Computed, not measured: crystalline BeSb2OsI at its relaxed geometry at the PBE level of DFT.

a = 4.691 Å, b = 4.691 Å, c = 4.987 Å
α = 90.00°, β = 90.00°, γ = 90.00°
Space group P4/mmm (No. 123)
Inequivalent atoms, fractional coordinates:
Be  0.000  0.000  0.000
Sb  0.000  0.500  0.000
Os  0.500  0.500  0.500
I  0.000  0.000  0.500

**Uncorrected formation energy**: 1.348 eV/atom
**ΔE to the lowest computed polymorph**: 0.253 eV/atom
**E**: -18.0 eV per cell
**V**: 22.0 Å³/atom

Computed, not measured: crystalline BeZnTc2 at its relaxed geometry at the PBE level of DFT.

a = 5.896 Å, b = 5.896 Å, c = 5.896 Å
α = 90.00°, β = 90.00°, γ = 90.00°
Space group Fm-3m (No. 225)
Inequivalent atoms, fractional coordinates:
Be  0.000  0.000  0.000
Zn  0.000  0.000  0.500
Tc  0.250  0.250  0.250

**DFT formation energy**: 96 kJ/mol of formula units
**ΔE to the lowest computed polymorph**: 0.286 eV/atom
**E**: -98.9 eV per cell
**V**: 12.8 Å³/atom

Computed, not measured: crystalline CsMg2TiSi at its relaxed geometry at the PBE level of DFT.

a = 5.445 Å, b = 5.445 Å, c = 5.111 Å
α = 90.00°, β = 90.00°, γ = 90.00°
Space group P4/mmm (No. 123)
Inequivalent atoms, fractional coordinates:
Cs  0.000  0.000  0.000
Mg  0.000  0.500  0.500
Ti  0.500  0.500  0.000
Si  0.500  0.500  0.500

**Uncorrected formation energy**: 0.521 eV/atom
**E**: -14.8 eV per cell
**V**: 30.3 Å³/atom